Record 1
# GGA-PBE YZnTc, relaxed
# V: 60.9 Å³ per cell
# D(E_F): 4.24 states/eV per cell
# DFT formation energy: 0.93 eV/f.u.
# VASP energy: -0.4208 Ry/atom
# Symmetry: P3m1 (156)
# Polymorph energy (0 for the lowest one): 0.430 eV per atom
data_YZnTc
_chemical_formula_sum 'Y1 Zn1 Tc1'
_space_group_name_H-M_alt 'P 1'
_space_group_IT_number 1
_space_group_name_Hall 'P 1'
_cell_length_a 3.339
_cell_length_b 3.339
_cell_length_c 6.304
_cell_angle_alpha 90.00
_cell_angle_beta 90.00
_cell_angle_gamma 120.00
loop_
_atom_site_label
_atom_site_fract_x
_atom_site_fract_y
_atom_site_fract_z
Y1 0.667 0.333 0.313
Tc1 0.000 0.000 0.984
Zn1 0.333 0.667 0.703

Record 2
# GGA-PBE YZnTc, relaxed
# V: 59.9 Å³ per cell
# D(E_F): 2.94 states/eV per cell
# DFT formation energy: 0.23 eV/f.u.
# VASP energy: -0.4379 Ry/atom
# Symmetry: P-6m2 (187)
# Polymorph energy (0 for the lowest one): 0.198 eV per atom
data_YZnTc
_chemical_formula_sum 'Y1 Zn1 Tc1'
_space_group_name_H-M_alt 'P 1'
_space_group_IT_number 1
_space_group_name_Hall 'P 1'
_cell_length_a 4.365
_cell_length_b 4.365
_cell_length_c 3.631
_cell_angle_alpha 90.00
_cell_angle_beta 90.00
_cell_angle_gamma 120.00
loop_
_atom_site_label
_atom_site_fract_x
_atom_site_fract_y
_atom_site_fract_z
Tc1 0.000 0.000 0.833
Y1 0.667 0.333 0.334
Zn1 0.333 0.667 0.833

Record 3
# GGA-PBE YZnTc2, relaxed
# V: 70.3 Å³ per cell
# D(E_F): 6.49 states/eV per cell
# DFT formation energy: 2.12 eV/f.u.
# VASP energy: -0.4842 Ry/atom
# Symmetry: R-3m (166)
data_YZnTc2
_chemical_formula_sum 'Y1 Zn1 Tc2'
_space_group_name_H-M_alt 'P 1'
_space_group_IT_number 1
_space_group_name_Hall 'P 1'
_cell_length_a 9.065
_cell_length_b 9.065
_cell_length_c 9.065
_cell_angle_alpha 19.18
_cell_angle_beta 19.18
_cell_angle_gamma 19.18
loop_
_atom_site_label
_atom_site_fract_x
_atom_site_fract_y
_atom_site_fract_z
Y1 0.250 0.250 0.250
Tc1 0.493 0.493 0.493
Tc2 0.007 0.007 0.007
Zn1 0.750 0.750 0.750

Please write out number 3 again, unchanged.
# GGA-PBE YZnTc2, relaxed
# V: 70.3 Å³ per cell
# D(E_F): 6.49 states/eV per cell
# DFT formation energy: 2.12 eV/f.u.
# VASP energy: -0.4842 Ry/atom
# Symmetry: R-3m (166)
data_YZnTc2
_chemical_formula_sum 'Y1 Zn1 Tc2'
_space_group_name_H-M_alt 'P 1'
_space_group_IT_number 1
_space_group_name_Hall 'P 1'
_cell_length_a 9.065
_cell_length_b 9.065
_cell_length_c 9.065
_cell_angle_alpha 19.18
_cell_angle_beta 19.18
_cell_angle_gamma 19.18
loop_
_atom_site_label
_atom_site_fract_x
_atom_site_fract_y
_atom_site_fract_z
Y1 0.250 0.250 0.250
Tc1 0.493 0.493 0.493
Tc2 0.007 0.007 0.007
Zn1 0.750 0.750 0.750

Q: Which of these has the lowest V?
A: number 2

What did the second record say?
# GGA-PBE YZnTc, relaxed
# V: 59.9 Å³ per cell
# D(E_F): 2.94 states/eV per cell
# DFT formation energy: 0.23 eV/f.u.
# VASP energy: -0.4379 Ry/atom
# Symmetry: P-6m2 (187)
# Polymorph energy (0 for the lowest one): 0.198 eV per atom
data_YZnTc
_chemical_formula_sum 'Y1 Zn1 Tc1'
_space_group_name_H-M_alt 'P 1'
_space_group_IT_number 1
_space_group_name_Hall 'P 1'
_cell_length_a 4.365
_cell_length_b 4.365
_cell_length_c 3.631
_cell_angle_alpha 90.00
_cell_angle_beta 90.00
_cell_angle_gamma 120.00
loop_
_atom_site_label
_atom_site_fract_x
_atom_site_fract_y
_atom_site_fract_z
Tc1 0.000 0.000 0.833
Y1 0.667 0.333 0.334
Zn1 0.333 0.667 0.833